A plane-wave DFT calculation with GGA-PBE was carried out for a relaxed structure of Sc4Ni3Pd.

Properties
D(E_F) in states/eV/atom: 0.8044
V in Å³/atom: 16.547
Calculated formation energy in eV per formula unit: -4.75
Space group: R-3m, No. 166

Cell lengths 4.542, 4.542, 7.861 Å; angles 73.21, 73.21, 60.00 degrees
Positions (direct):
Ni1 0.500 0.500 0.500
Ni2 0.750 0.750 0.750
Pd1 0.000 0.000 0.000
Sc1 0.128 0.128 0.617
Sc2 0.872 0.872 0.383
Sc3 0.378 0.378 0.866
Sc4 0.622 0.622 0.134
Ni3 0.250 0.250 0.250

A plane-wave DFT calculation with GGA-PBE was carried out for a relaxed structure of Sc6Ni5Pd.

Properties
D(E_F) in states/eV/atom: 0.6732
V in Å³/atom: 16.324
Calculated formation energy in eV per formula unit: -6.77
Space group: Cmmm, No. 65

Cell lengths 4.555, 6.310, 7.186 Å; angles 90.00, 71.52, 90.00 degrees
Positions (direct):
Sc1 0.170 0.747 0.660
Pd1 0.000 0.000 0.000
Sc2 0.830 0.253 0.340
Sc3 0.500 0.256 0.000
Sc4 0.500 0.744 0.000
Ni1 0.664 0.500 0.671
Ni2 0.000 0.500 0.000
Ni3 0.667 0.000 0.666
Sc5 0.830 0.747 0.340
Ni4 0.333 0.000 0.334
Ni5 0.336 0.500 0.329
Sc6 0.170 0.253 0.660

A plane-wave DFT calculation with GGA-PBE was carried out for a relaxed structure of Sc5NiPd2.

Properties
D(E_F) in states/eV/atom: 0.8947
V in Å³/atom: 19.360
Calculated formation energy in eV per formula unit: -4.57
Space group: Pbam, No. 55

Cell lengths 4.600, 6.161, 10.931 Å; angles 90.00, 90.00, 90.00 degrees
Positions (direct):
Ni1 0.000 0.500 0.500
Sc1 0.000 0.650 0.714
Pd1 0.500 0.895 0.642
Pd2 0.500 0.395 0.858
Sc2 0.000 0.000 0.500
Sc3 0.000 0.500 0.000
Sc4 0.500 0.329 0.600
Sc5 0.500 0.171 0.100
Sc6 0.000 0.850 0.214
Pd3 0.500 0.105 0.358
Ni2 0.000 0.000 0.000
Sc7 0.500 0.671 0.400
Sc8 0.000 0.350 0.286
Sc9 0.000 0.150 0.786
Sc10 0.500 0.829 0.900
Pd4 0.500 0.605 0.142

A plane-wave DFT calculation with GGA-PBE was carried out for a relaxed structure of Sc2NiPd2.

Properties
D(E_F) in states/eV/atom: 0.6804
V in Å³/atom: 17.355
Calculated formation energy in eV per formula unit: -3.27
Space group: Ibam, No. 72

Cell lengths 5.136, 5.874, 6.951 Å; angles 114.99, 111.68, 90.00 degrees
Positions (direct):
Ni1 0.250 0.500 0.000
Sc1 0.164 0.867 0.328
Ni2 0.750 0.500 0.000
Sc2 0.336 0.539 0.672
Pd1 0.598 0.937 0.197
Pd2 0.902 0.740 0.803
Pd3 0.402 0.063 0.803
Sc3 0.836 0.133 0.672
Pd4 0.098 0.260 0.197
Sc4 0.664 0.461 0.328